(1)
Entry from Alexandria: a geometry-optimized Sc3FePd12 structure (PBE-GGA).

```
16
Lattice="3.9840 0.0000 0.0000 0.0000 3.9840 0.0000 0.0000 0.0000 15.8825" Properties=species:S:1:pos:R:3 pbc="T T T"
Sc 0.0000 0.0000 0.0000
Sc 0.0000 0.0000 4.0229
Sc 0.0000 0.0000 11.8596
Fe 0.0000 0.0000 7.9412
Pd 0.0000 1.9920 2.0188
Pd 0.0000 1.9920 6.0579
Pd 0.0000 1.9920 9.8245
Pd 0.0000 1.9920 13.8637
Pd 1.9920 0.0000 2.0188
Pd 1.9920 0.0000 6.0579
Pd 1.9920 0.0000 9.8245
Pd 1.9920 0.0000 13.8637
Pd 1.9920 1.9920 0.0000
Pd 1.9920 1.9920 4.0354
Pd 1.9920 1.9920 7.9412
Pd 1.9920 1.9920 11.8471
```

Properties
* VASP energy: -6.261 eV per atom
* formation energy from the elements: -0.650 eV/atom

---

(2)
Entry from Alexandria: a geometry-optimized NdLuOs structure (PBE-GGA).

```
6
Lattice="3.4104 0.0000 0.0000 0.0000 3.4104 0.0000 0.0000 0.0000 13.2610" Properties=species:S:1:pos:R:3 pbc="T T T"
Nd 0.0000 0.0000 0.0000
Nd 1.7052 1.7052 6.6305
Lu 0.0000 0.0000 3.3383
Lu 1.7052 1.7052 9.9688
Os 0.0000 0.0000 8.4192
Os 1.7052 1.7052 1.7887
```

Properties
* VASP energy: -7.013 eV per atom
* distance to the lowest polymorph of the same formula: 0.000 eV per atom
* formation energy from the elements: -0.173 eV/atom

---

(3)
Entry from Alexandria: a geometry-optimized CoHOs2 structure (PBE-GGA).

```
16
Lattice="5.8993 0.0000 0.0000 0.0000 5.8993 0.0000 0.0000 0.0000 4.9676" Properties=species:S:1:pos:R:3 pbc="T T T"
Co 0.0000 0.0000 0.0000
Co 0.0000 2.9496 1.2419
Co 2.9496 0.0000 3.7257
Co 2.9496 2.9496 2.4838
H 0.0000 0.0000 2.4838
H 0.0000 2.9496 3.7257
H 2.9496 0.0000 1.2419
H 2.9496 2.9496 0.0000
Os 0.9588 1.4748 3.1048
Os 1.4748 3.9085 4.3467
Os 1.4748 4.9404 1.8629
Os 1.9908 1.4748 0.6210
Os 3.9085 4.4244 0.6210
Os 4.4244 0.9588 1.8629
Os 4.4244 1.9908 4.3467
Os 4.9404 4.4244 3.1048
```

Properties
* VASP energy: -7.760 eV per atom
* distance to the lowest polymorph of the same formula: 0.000 eV per atom

---

(4)
Entry from Alexandria: a geometry-optimized BiSbPd structure (PBE-GGA).

```
6
Lattice="4.2034 0.0000 0.0000 0.0000 5.4225 0.0000 0.0000 0.0000 6.8169" Properties=species:S:1:pos:R:3 pbc="T T T"
Bi 0.0000 0.1784 0.0000
Bi 2.1017 5.2441 3.4085
Sb 0.0000 2.5358 4.9264
Sb 2.1017 2.8867 1.5179
Pd 0.0000 1.4594 2.4794
Pd 2.1017 3.9631 5.8879
```

Properties
* VASP energy: -4.671 eV per atom
* formation energy from raw total energies: -272 meV/atom
* distance to the lowest polymorph of the same formula: 0.012 eV per atom

---

(5)
Entry from Alexandria: a geometry-optimized GaHg2BSe structure (PBE-GGA).

```
5
Lattice="4.4826 0.0000 0.0000 0.0000 4.4826 0.0000 0.0000 0.0000 5.4708" Properties=species:S:1:pos:R:3 pbc="T T T"
Ga 0.0000 0.0000 0.0000
Hg 0.0000 2.2413 2.7354
Hg 2.2413 0.0000 2.7354
B 2.2413 2.2413 2.7354
Se 2.2413 2.2413 0.0000
```

Properties
* VASP energy: -2.309 eV per atom
* formation energy from raw total energies: 449 meV/atom

---

(6)
Entry from Alexandria: a geometry-optimized Co3W structure (PBE-GGA).

```
4
Lattice="2.6388 0.0000 0.0000 0.0000 3.5070 0.0000 0.0000 0.0000 5.1646" Properties=species:S:1:pos:R:3 pbc="T T T"
Co 0.0000 0.0000 0.0000
Co 1.3194 1.7535 1.2141
Co 1.3194 1.7535 3.9504
W 0.0000 0.0000 2.5823
```

Properties
* VASP energy: -8.500 eV per atom
* formation energy from the elements: 0.068 eV/atom

---

(7)
Entry from Alexandria: a geometry-optimized NaTi3Br structure (PBE-GGA).

```
5
Lattice="4.7881 0.0000 0.0000 0.0000 4.7881 0.0000 0.0000 0.0000 4.7881" Properties=species:S:1:pos:R:3 pbc="T T T"
Na 0.0000 0.0000 0.0000
Ti 0.0000 2.3941 2.3941
Ti 2.3941 0.0000 2.3941
Ti 2.3941 2.3941 0.0000
Br 2.3941 2.3941 2.3941
```

Properties
* VASP energy: -4.675 eV per atom
* formation energy from raw total energies: 660 meV/atom
* distance to the lowest polymorph of the same formula: 0.000 eV per atom

---

(8)
Entry from Alexandria: a geometry-optimized Ca2LaZn structure (PBE-GGA).

```
16
Lattice="9.1864 0.0000 0.0000 0.0000 9.1864 0.0000 0.0000 0.0000 6.6029" Properties=species:S:1:pos:R:3 pbc="T T T"
Ca 1.6525 2.2966 0.8254
Ca 2.2966 6.2457 2.4761
Ca 2.2966 7.5339 5.7775
Ca 2.9407 2.2966 4.1268
Ca 6.2457 6.8898 4.1268
Ca 6.8898 1.6525 5.7775
Ca 6.8898 2.9407 2.4761
Ca 7.5339 6.8898 0.8254
La 0.0000 0.0000 3.3014
La 0.0000 4.5932 4.9521
La 4.5932 0.0000 1.6507
La 4.5932 4.5932 0.0000
Zn 0.0000 0.0000 0.0000
Zn 0.0000 4.5932 1.6507
Zn 4.5932 0.0000 4.9521
Zn 4.5932 4.5932 3.3014
```

Properties
* VASP energy: -2.434 eV per atom
* formation energy from the elements: 0.117 eV/atom

---

(9)
Entry from Alexandria: a geometry-optimized CsNdHfS4 structure (PBE-GGA).

```
14
Lattice="7.0473 0.0000 0.0000 0.0000 7.0914 0.0000 -3.0935 0.0000 9.1979" Properties=species:S:1:pos:R:3 pbc="T T T"
Cs 0.2096 1.7729 4.0517
Cs 3.7441 5.3186 5.1463
Nd -0.8823 1.7729 8.7616
Nd 4.8360 5.3186 0.4363
Hf 1.3006 5.3186 1.4640
Hf 2.6531 1.7729 7.7339
S -2.6400 5.3186 8.4813
S -0.6203 5.3186 2.8610
S 2.8980 0.0127 1.7342
S 2.8980 3.5331 1.7342
S 1.0557 3.5584 7.4637
S 1.0557 7.0788 7.4637
S 4.5740 1.7729 6.3369
S 6.5937 1.7729 0.7166
```

Properties
* VASP energy: -6.255 eV per atom
* formation energy from raw total energies: -1672 meV/atom

---

(10)
Entry from Alexandria: a geometry-optimized USi2Tc structure (PBE-GGA).

```
12
Lattice="4.5805 0.0000 0.0000 -2.2903 3.9669 0.0000 0.0000 0.0000 18.1484" Properties=species:S:1:pos:R:3 pbc="T T T"
U 0.0000 0.0000 0.0000
U 0.0000 2.6446 12.0989
U 2.2903 1.3223 6.0495
Si 0.0000 0.0000 6.7547
Si 0.0000 0.0000 11.3937
Si 0.0000 2.6446 0.7052
Si 0.0000 2.6446 5.3443
Si 2.2903 1.3223 12.8041
Si 2.2903 1.3223 17.4432
Tc 0.0000 0.0000 9.0742
Tc 0.0000 2.6446 3.0247
Tc 2.2903 1.3223 15.1237
```

Properties
* VASP energy: -6.778 eV per atom
* formation energy from raw total energies: 1347 meV/atom
* distance to the lowest polymorph of the same formula: 1.640 eV per atom

---

(11)
Entry from Alexandria: a geometry-optimized Be2Cd2Pb structure (PBE-GGA).

```
10
Lattice="3.2075 0.0000 0.0000 0.0000 3.2075 0.0000 0.0000 0.0000 18.7086" Properties=species:S:1:pos:R:3 pbc="T T T"
Be 0.0000 1.6037 4.6772
Be 0.0000 1.6037 14.0315
Be 1.6037 0.0000 4.6772
Be 1.6037 0.0000 14.0315
Cd 0.0000 0.0000 2.5305
Cd 0.0000 0.0000 16.1781
Cd 1.6037 1.6037 6.8238
Cd 1.6037 1.6037 11.8849
Pb 0.0000 0.0000 9.3543
Pb 1.6037 1.6037 0.0000
```

Properties
* VASP energy: -2.221 eV per atom
* formation energy from the elements: 0.377 eV/atom

---

(12)
Entry from Alexandria: a geometry-optimized Ba2SrSiPb structure (PBE-GGA).

```
5
Lattice="6.6323 0.0000 0.0000 0.0000 6.6323 0.0000 0.0000 0.0000 5.4852" Properties=species:S:1:pos:R:3 pbc="T T T"
Ba 0.0000 3.3162 0.0000
Ba 3.3162 0.0000 0.0000
Sr 0.0000 0.0000 0.0000
Si 0.0000 0.0000 2.7426
Pb 3.3162 3.3162 2.7426
```

Properties
* VASP energy: -2.261 eV per atom
* formation energy from raw total energies: 671 meV/atom

---

(13)
Entry from Alexandria: a geometry-optimized NaCr3Sb structure (PBE-GGA).

```
5
Lattice="5.3007 0.0000 0.0000 0.0000 5.3007 0.0000 0.0000 0.0000 5.3007" Properties=species:S:1:pos:R:3 pbc="T T T"
Na 0.0000 0.0000 0.0000
Cr 0.0000 2.6503 2.6503
Cr 2.6503 0.0000 2.6503
Cr 2.6503 2.6503 0.0000
Sb 2.6503 2.6503 2.6503
```

Properties
* VASP energy: -5.837 eV per atom
* formation energy from raw total energies: 1026 meV/atom
* distance to the lowest polymorph of the same formula: 0.000 eV per atom

---

(14)
Entry from Alexandria: a geometry-optimized LiSc2Fe structure (PBE-GGA).

```
4
Lattice="3.2392 0.0000 0.0000 0.0000 3.2392 0.0000 0.0000 0.0000 7.0211" Properties=species:S:1:pos:R:3 pbc="T T T"
Li 0.0000 0.0000 0.0000
Sc 0.0000 0.0000 4.2554
Sc 1.6196 1.6196 1.7715
Fe 1.6196 1.6196 5.8311
```

Properties
* VASP energy: -5.560 eV per atom
* formation energy from the elements: 0.200 eV/atom

---

(15)
Entry from Alexandria: a geometry-optimized LiTh3In4 structure (PBE-GGA).

```
8
Lattice="3.5150 0.0000 0.0000 0.0000 3.5150 0.0000 0.0000 0.0000 17.0679" Properties=species:S:1:pos:R:3 pbc="T T T"
Li 0.0000 0.0000 0.0000
Th 0.0000 0.0000 3.8973
Th 0.0000 0.0000 8.5339
Th 0.0000 0.0000 13.1705
In 1.7575 1.7575 1.5750
In 1.7575 1.7575 6.2082
In 1.7575 1.7575 10.8597
In 1.7575 1.7575 15.4928
```

Properties
* VASP energy: -4.689 eV per atom
* formation energy from the elements: -0.298 eV/atom